DFT (PBE-GGA) results for a relaxed structure of NiRuIN2.

a b c (Å): 3.7563 3.7563 6.0217
angles (deg): 90.00 90.00 90.00
Closest atoms and distances in Å follow each position.
Positions (direct):
I  0.0000  0.0000  0.5000  4 Ni 2.66
N  0.5000  0.0000  0.0000  2 Ru 1.88
Ru  0.0000  0.0000  0.0000  4 N 1.88
Ni  0.5000  0.5000  0.5000  4 I 2.66
N  0.0000  0.5000  0.0000  2 Ru 1.88

Calculated values
DOS at the Fermi energy = 4.9 states/eV/f.u.
total DFT energy (no corrections) = -5.643 eV per atom
calculated density = 6.1 g/cm³
V = 85 Å³/cell
raw formation energy = 1.0086 eV per atom